7
Lattice="-1.463 1.463 9.015 1.463 -1.463 9.015 1.463 1.463 -9.015" Properties=species:S:1:pos:R:3 comment="Co3Ni4 | the Alexandria database | PBE-GGA | relaxed" n_ef_per_ev_atom=1.236 rho_g_cm3=8.849 crystal_system=tetragonal formation_energy_ev_per_atom=0.0937 de_polymorph_ev_per_fu=0.702 volume_a3_per_atom=11.0 pbc="T T T"
Co 0.000 0.000 0.000
Co 0.000 0.000 5.151
Co 0.000 0.000 12.879
Ni 0.000 0.000 2.572
Ni 0.000 0.000 7.722
Ni 0.000 0.000 10.309
Ni 0.000 0.000 15.459